Record 1
Compound: HgBiPdPb
Source: Alexandria
Functional: GGA-PBE
Structure: optimized geometry

ρ ... 12197 kg/m3
Relative energy among the computed polymorphs ... 0.64 eV per formula unit

Geometry as CIF:
```
data_HgBiPdPb
_space_group_name_H-M_alt 'F -4 3 m'
_space_group_IT_number 216
_space_group_name_Hall 'F -4 2 3'
_cell_length_a 7.3300
_cell_length_b 7.3300
_cell_length_c 7.3300
_cell_angle_alpha 90.00
_cell_angle_beta 90.00
_cell_angle_gamma 90.00
loop_
_atom_site_label
_atom_site_type_symbol
_atom_site_fract_x
_atom_site_fract_y
_atom_site_fract_z
Hg1 Hg 0.0000 0.0000 0.0000
Bi1 Bi 0.2500 0.2500 0.2500
Pd1 Pd 0.0000 0.0000 0.5000
Pb1 Pb 0.2500 0.2500 0.7500
```


Record 2
Compound: CeEr2Tm
Source: Alexandria
Functional: GGA-PBE
Structure: optimized geometry

ρ ... 8605 kg/m3
Relative energy among the computed polymorphs ... 0.43 eV per formula unit

Geometry as CIF:
```
data_CeEr2Tm
_space_group_name_H-M_alt 'F m -3 m'
_space_group_IT_number 225
_space_group_name_Hall '-F 4 2 3'
_cell_length_a 7.9199
_cell_length_b 7.9199
_cell_length_c 7.9199
_cell_angle_alpha 90.00
_cell_angle_beta 90.00
_cell_angle_gamma 90.00
loop_
_atom_site_label
_atom_site_type_symbol
_atom_site_fract_x
_atom_site_fract_y
_atom_site_fract_z
Ce1 Ce 0.0000 0.0000 0.0000
Er1 Er 0.2500 0.2500 0.2500
Tm1 Tm 0.0000 0.0000 0.5000
```


Record 3
Compound: Tc2OsPbO8
Source: Alexandria
Functional: GGA-PBE
Structure: optimized geometry

ρ ... 8045 kg/m3
ΔE_f (raw) ... -1.158 eV per atom

Geometry as CIF:
```
data_Tc2OsPbO8
_space_group_name_H-M_alt 'C m m m'
_space_group_IT_number 65
_space_group_name_Hall '-C 2 2'
_cell_length_a 6.8109
_cell_length_b 7.0445
_cell_length_c 6.2071
_cell_angle_alpha 90.00
_cell_angle_beta 90.00
_cell_angle_gamma 90.00
loop_
_atom_site_label
_atom_site_type_symbol
_atom_site_fract_x
_atom_site_fract_y
_atom_site_fract_z
Tc1 Tc 0.0000 0.0000 0.2309
Os1 Os 0.0000 0.5000 0.0000
Pb1 Pb 0.0000 0.5000 0.5000
O1 O 0.0000 0.1635 0.5000
O2 O 0.0000 0.2168 0.0000
O3 O 0.2225 0.5000 0.2026
```